Below is a geometry-optimized SrPt3O4 structure, with properties calculated at the GGA-PBE level.

Results
The mass density comes out at 11.67 g/cm³. For the formation energy from raw total energies, the calculation gives -1034 meV/atom.

a = 5.9407 Å, b = 5.9407 Å, c = 5.9407 Å
α = 90.00°, β = 90.00°, γ = 90.00°
Positions (direct):
O1 0.2500 0.7500 0.2500
O2 0.2500 0.7500 0.7500
O3 0.7500 0.2500 0.7500
O4 0.2500 0.2500 0.7500
O5 0.7500 0.7500 0.7500
O6 0.2500 0.2500 0.2500
O7 0.7500 0.7500 0.2500
O8 0.7500 0.2500 0.2500
Sr1 0.0000 0.0000 0.0000
Sr2 0.5000 0.5000 0.5000
Pt1 0.5000 0.0000 0.2500
Pt2 0.7500 0.5000 0.0000
Pt3 0.2500 0.5000 0.0000
Pt4 0.0000 0.2500 0.5000
Pt5 0.5000 0.0000 0.7500
Pt6 0.0000 0.7500 0.5000